VASP calculation (PBE) on an optimized crystal structure of MgNbReSn.

```
data_MgNbReSn
_chemical_formula_sum 'Mg2 Nb2 Re2 Sn2'
_symmetry_space_group_name_H-M 'I m m 2'
_symmetry_Int_Tables_number 44
_cell_length_a 3.6181
_cell_length_b 4.5918
_cell_length_c 8.8513
_cell_angle_alpha 90.00
_cell_angle_beta 90.00
_cell_angle_gamma 90.00
loop_
_symmetry_equiv_pos_as_xyz
'x,y,z'
'-x,-y,z'
'-x,y,z'
'x,-y,z'
'x+1/2,y+1/2,z+1/2'
'-x+1/2,-y+1/2,z+1/2'
'-x+1/2,y+1/2,z+1/2'
'x+1/2,-y+1/2,z+1/2'
loop_
_atom_site_label
_atom_site_type_symbol
_atom_site_fract_x
_atom_site_fract_y
_atom_site_fract_z
_atom_site_occupancy
Mg1 Mg 0.0000 0.0000 0.0000 1
Nb1 Nb 0.0000 0.0000 0.5340 1
Re1 Re 0.0000 0.5000 0.2455 1
Sn1 Sn 0.0000 0.5000 0.7671 1
```

For the energy of formation, the calculation gives 159 meV/atom. The energy above the most stable polymorph in this dataset is 163 meV per atom. The density of states at the Fermi level is 4.65 states/eV per cell. The total energy is -54.96 eV/cell.

---

VASP calculation (PBE) on an optimized crystal structure of LaMg3Pt3.

```
data_LaMg3Pt3
_chemical_formula_sum 'La2 Mg6 Pt6'
_symmetry_space_group_name_H-M 'P m -3 n'
_symmetry_Int_Tables_number 223
_symmetry_space_group_name_Hall '-P 4n 2 3'
_cell_length_a 7.0231
_cell_length_b 7.0231
_cell_length_c 7.0231
_cell_angle_alpha 90.00
_cell_angle_beta 90.00
_cell_angle_gamma 90.00
loop_
_atom_site_label
_atom_site_type_symbol
_atom_site_fract_x
_atom_site_fract_y
_atom_site_fract_z
_atom_site_occupancy
La1 La 0.0000 0.0000 0.0000 1
Mg1 Mg 0.0000 0.2500 0.5000 1
Pt1 Pt 0.0000 0.5000 0.2500 1
```

For the energy of formation, the calculation gives -272 meV/atom. The density of states at the Fermi level is 8.39 states/eV per cell. The total energy is -59.47 eV/cell.